DFT (PBE-GGA) results for a relaxed structure of La4ReMo.

Cell: 6.118 6.118 6.118 Å, 60.00 60.00 60.00°
Fractional positions:
La (0.376, 0.376, 0.376)
La (0.376, 0.376, 0.873)
La (0.376, 0.873, 0.376)
La (0.873, 0.376, 0.376)
Re (0.750, 0.750, 0.750)
Mo (0.000, 0.000, 0.000)

## Properties
E_form = 1.3315 eV per atom
uncorrected energy = -5.8334 eV per atom